This record from the Open Quantum Materials Database describes an optimized crystal structure of WS2. The functional is GGA-PBE.

a = 3.0019 Å, b = 6.1732 Å, c = 6.6491 Å
α = 90.00°, β = 90.00°, γ = 90.00°
Space group Amm2 (No. 38)
Unique sites:
W 0.0000 0.0000 0.0000 x2
S 0.5000 0.2485 0.1363 x4

Results
The energy comes out at -0.2547 Ha/atom. The volume comes out at 20.54 A^3/atom. The total magnetization comes out at 0.01 μB/cell.

***

This record from the Open Quantum Materials Database describes an optimized crystal structure of WS2. The functional is GGA-PBE.

a = 3.2171 Å, b = 3.2171 Å, c = 6.2137 Å
α = 90.00°, β = 90.00°, γ = 120.00°
Space group P-3m1 (No. 164)
Unique sites:
W 0.0000 0.0000 0.0000 x1
S 0.3333 0.6667 0.2538 x2

Results
The energy comes out at -0.2789 Ha/atom. The volume comes out at 18.56 A^3/atom. The total magnetization comes out at 0.00 μB/cell.

***

This record from the Open Quantum Materials Database describes an optimized crystal structure of WS2. The functional is GGA-PBE.

a = 3.1807 Å, b = 5.5094 Å, c = 23.5393 Å
α = 90.00°, β = 90.00°, γ = 90.00°
Space group Cmcm (No. 63)
Unique sites:
W 0.0000 0.0821 0.2500 x4
S 0.0000 0.2512 0.6831 x8

Results
The energy comes out at -0.2900 Ha/atom. The volume comes out at 34.37 A^3/atom. The total magnetization comes out at 0.00 μB/cell.

***

This record from the Open Quantum Materials Database describes an optimized crystal structure of WS2. The functional is GGA-PBE.

a = 5.9345 Å, b = 5.9345 Å, c = 5.9345 Å
α = 90.00°, β = 90.00°, γ = 90.00°
Space group Fm-3m (No. 225)
Unique sites:
W 0.0000 0.0000 0.0000 x4
S 0.2500 0.2500 0.2500 x8

Results
The energy comes out at -0.2605 Ha/atom. The volume comes out at 17.42 A^3/atom. The total magnetization comes out at 7.68 μB/cell.

***

This record from the Open Quantum Materials Database describes an optimized crystal structure of WS2. The functional is GGA-PBE.

a = 3.1866 Å, b = 22.1843 Å, c = 5.5176 Å
α = 90.00°, β = 90.00°, γ = 90.00°
Space group Fmm2 (No. 42)
Unique sites:
W 0.0000 0.0000 0.0000 x4
S 0.0000 0.0707 0.6667 x8

Results
The energy comes out at -0.2900 Ha/atom. The volume comes out at 32.50 A^3/atom. The total magnetization comes out at 0.02 μB/cell.

***

This record from the Open Quantum Materials Database describes an optimized crystal structure of WS2. The functional is GGA-PBE.

a = 8.8507 Å, b = 3.1387 Å, c = 10.0917 Å
α = 90.00°, β = 90.00°, γ = 90.00°
Space group Pnma (No. 62)
Unique sites:
W 0.1284 0.2500 0.0173 x4
S 0.0278 0.7500 0.1759 x4
S 0.1771 0.2500 0.4710 x4

Results
The energy comes out at -0.2758 Ha/atom. The volume comes out at 23.36 A^3/atom. The total magnetization comes out at 0.00 μB/cell.